No. 1
Here is a crystal of CuNi3 relaxed with PBEsol from the Alexandria database. Energies are from SCAN.

```
4
Lattice="-0.974 1.040 1.994 2.759 -1.841 2.308 2.616 3.339 -0.464" Properties=species:S:1:pos:R:3 pbc="T T T"
Ni 0.822 2.191 0.765
Ni 3.063 2.370 1.766
Ni 2.257 0.200 0.998
Cu 0.002 0.003 0.000
```

Its density of states at the Fermi level is 3.14 states/eV/f.u. Its final energy is -15.86 eV/atom. The calculated volume is 42.24 Å³/cell. Its formation energy is 69 meV/atom. The magnetization is 2.0 μB per cell.


No. 2
Here is a crystal of Cu2Ni relaxed with PBEsol from the Alexandria database. Energies are from SCAN.

```
3
Lattice="2.478 0.000 0.000 0.000 3.533 0.000 -1.239 -1.767 3.730" Properties=species:S:1:pos:R:3 pbc="T T T"
Ni 0.000 0.000 0.000
Cu 1.239 1.767 1.235
Cu 0.000 0.000 2.495
```

Its density of states at the Fermi level is 1.52 states/eV/f.u. Its final energy is -15.47 eV/atom. The calculated volume is 32.65 Å³/cell. Its formation energy is 53 meV/atom. The magnetization is 0.0 μB per cell.


No. 3
Here is a crystal of CuNi3 relaxed with PBEsol from the Alexandria database. Energies are from SCAN.

```
4
Lattice="2.456 0.000 0.000 -1.228 2.127 0.000 0.000 0.000 8.109" Properties=species:S:1:pos:R:3 pbc="T T T"
Ni 0.000 0.000 4.054
Ni 0.000 1.418 6.047
Ni 0.000 1.418 2.062
Cu 0.000 0.000 0.000
```

Its density of states at the Fermi level is 3.42 states/eV/f.u. Its final energy is -15.88 eV/atom. The calculated volume is 42.34 Å³/cell. Its formation energy is 49 meV/atom. The magnetization is 2.1 μB per cell.


No. 4
Here is a crystal of CuNi3 relaxed with PBEsol from the Alexandria database. Energies are from SCAN.

```
16
Lattice="-2.829 -3.161 -0.292 1.794 -1.197 -4.428 5.256 -5.026 3.487" Properties=species:S:1:pos:R:3 pbc="T T T"
Cu 4.831 -4.783 -0.186
Cu 0.363 -2.726 0.187
Cu 3.858 -6.657 -1.420
Cu -0.611 -4.600 -1.047
Ni 3.937 -4.192 2.014
Ni 1.269 -3.325 -2.041
Ni 2.952 -6.058 0.808
Ni 0.284 -5.192 -3.247
Ni -0.986 -3.116 -2.973
Ni 3.338 -7.545 2.715
Ni 3.493 -4.334 -2.216
Ni 2.596 -3.772 0.008
Ni 5.207 -6.268 1.740
Ni 0.882 -1.838 -3.947
Ni 0.728 -5.049 0.983
Ni 1.625 -5.612 -1.241
```

Its density of states at the Fermi level is 4.27 states/eV/f.u. Its final energy is -15.87 eV/atom. The calculated volume is 168.90 Å³/cell. Its formation energy is 62 meV/atom. The magnetization is 7.8 μB per cell.